An optimized crystal structure of Ta2SbP, computed with PBE.

Lattice parameters (Å, degrees): 2.989 2.989 9.829 90.00 90.00 106.56
Fractional positions:
Sb (0.500, 0.500, 0.206)
Ta (0.500, 0.500, 0.748)
Ta (0.000, 0.000, 0.976)
P (0.000, 0.000, 0.570)

Output
Its space group is Cmm2, No. 35. Its electronic total energy is -33.6 eV per cell. Its total moment is 0.0 Bohr magnetons per cell. The value obtained for the formation energy (no corrections) is -0.0961 eV/atom.